# 1
A plane-wave DFT calculation with PBEsol was carried out for a relaxed structure of Y2MnAu.

a = 3.5970 Å, b = 3.5970 Å, c = 8.6134 Å
α = 77.95°, β = 77.95°, γ = 60.00°
Atoms (fractional coordinates):
Y 0.2498 0.2498 0.2505
Y 0.7502 0.7502 0.7495
Mn 0.0000 0.0000 0.0000
Au 0.5000 0.5000 0.5000

Calculated values
The formation energy comes out at 0.05 eV/atom. The total energy is -27.1 eV per formula unit. The space group is No. 166. The crystal system is trigonal. The value obtained for the calculated volume is 23.4 Å³/atom.

***

# 2
A plane-wave DFT calculation with PBEsol was carried out for a relaxed structure of Sm2P3Pt6.

a = 4.0704 Å, b = 4.0704 Å, c = 22.8853 Å
α = 95.10°, β = 95.10°, γ = 90.00°
Atoms (fractional coordinates):
P 0.1749 0.1749 0.3499
P 0.8251 0.8251 0.6501
P 0.0751 0.5751 0.1501
P 0.2500 0.7500 0.5000
P 0.0000 0.0000 0.0000
P 0.4249 0.9249 0.8499
Sm 0.5495 0.0495 0.0990
Sm 0.9505 0.4505 0.9010
Sm 0.7005 0.7005 0.4010
Sm 0.2995 0.2995 0.5990
Pt 0.4760 0.9760 0.9520
Pt 0.3993 0.3993 0.7985
Pt 0.1476 0.6476 0.2952
Pt 0.2260 0.2260 0.4520
Pt 0.7740 0.7740 0.5480
Pt 0.3524 0.8524 0.7048
Pt 0.0240 0.5240 0.0480
Pt 0.1024 0.1024 0.2048
Pt 0.8976 0.8976 0.7952
Pt 0.8507 0.3507 0.7015
Pt 0.6007 0.6007 0.2015
Pt 0.6493 0.1493 0.2985

Calculated values
The formation energy comes out at -1.02 eV/atom. The total energy is -80.5 eV per formula unit. The space group is No. 141. The crystal system is tetragonal. The value obtained for the calculated volume is 17.1 Å³/atom.

***

# 3
A plane-wave DFT calculation with PBEsol was carried out for a relaxed structure of KCa2As.

a = 4.3047 Å, b = 4.3047 Å, c = 10.8721 Å
α = 78.91°, β = 78.91°, γ = 60.00°
Atoms (fractional coordinates):
K 0.5000 0.5000 0.0000
Ca 0.2883 0.2883 0.6386
Ca 0.7117 0.7117 0.3614
As 0.0000 0.0000 0.5000

Calculated values
The formation energy comes out at -0.61 eV/atom. The total energy is -12.9 eV per formula unit. The space group is No. 12. The crystal system is monoclinic. The value obtained for the calculated volume is 42.5 Å³/atom.

***

# 4
A plane-wave DFT calculation with PBEsol was carried out for a relaxed structure of KLiC2.

a = 4.2782 Å, b = 4.2782 Å, c = 4.2782 Å
α = 60.00°, β = 60.00°, γ = 60.00°
Atoms (fractional coordinates):
K 0.5000 0.5000 0.5000
Li 0.0000 0.0000 0.0000
C 0.2500 0.2500 0.2500
C 0.7500 0.7500 0.7500

Calculated values
The formation energy comes out at 2.39 eV/atom. The total energy is -12.8 eV per formula unit. The space group is No. 225. The crystal system is cubic. The value obtained for the calculated volume is 13.8 Å³/atom.

***

# 5
A plane-wave DFT calculation with PBEsol was carried out for a relaxed structure of WBr.

a = 4.3411 Å, b = 4.3411 Å, c = 4.9125 Å
α = 90.00°, β = 90.00°, γ = 120.00°
Atoms (fractional coordinates):
Br 0.6667 0.3333 0.7500
Br 0.3333 0.6667 0.2500
W 0.0000 0.0000 0.0000
W 0.0000 0.0000 0.5000

Calculated values
For the formation energy from raw total energies, the calculation gives 1.56 eV/atom. The total energy is -12.6 eV per formula unit. The space group is No. 194. The crystal system is hexagonal. The value obtained for the calculated volume is 20.0 Å³/atom.

***

# 6
A plane-wave DFT calculation with PBEsol was carried out for a relaxed structure of HfBr2Cl.

a = 4.8115 Å, b = 4.8115 Å, c = 4.8115 Å
α = 60.00°, β = 60.00°, γ = 60.00°
Atoms (fractional coordinates):
Br 0.2500 0.2500 0.2500
Br 0.7500 0.7500 0.7500
Hf 0.5000 0.5000 0.5000
Cl 0.0000 0.0000 0.0000

Calculated values
For the formation energy from raw total energies, the calculation gives -0.53 eV/atom. The total energy is -18.4 eV per formula unit. The space group is No. 225. The crystal system is cubic. The value obtained for the calculated volume is 19.7 Å³/atom.

***

# 7
A plane-wave DFT calculation with PBEsol was carried out for a relaxed structure of AlNiIr2.

a = 4.2269 Å, b = 4.2269 Å, c = 4.2269 Å
α = 60.00°, β = 60.00°, γ = 60.00°
Atoms (fractional coordinates):
Ir 0.7500 0.7500 0.7500
Ir 0.0000 0.0000 0.0000
Ni 0.2500 0.2500 0.2500
Al 0.5000 0.5000 0.5000

Calculated values
The formation energy comes out at -0.12 eV/atom. The total energy is -30.4 eV per formula unit. The space group is No. 216. The crystal system is cubic. The value obtained for the calculated volume is 13.3 Å³/atom.

***

# 8
A plane-wave DFT calculation with PBEsol was carried out for a relaxed structure of TaIn4Ir.

a = 5.5383 Å, b = 5.5383 Å, c = 5.5383 Å
α = 60.00°, β = 60.00°, γ = 60.00°
Atoms (fractional coordinates):
Ta 0.0000 0.0000 0.0000
In 0.3751 0.3751 0.3751
In 0.3751 0.3751 0.8748
In 0.8748 0.3751 0.3751
In 0.3751 0.8748 0.3751
Ir 0.7500 0.7500 0.7500

Calculated values
The formation energy comes out at 0.90 eV/atom. The total energy is -28.9 eV per formula unit. The space group is No. 216. The crystal system is cubic. The value obtained for the calculated volume is 20.0 Å³/atom.

***

# 9
A plane-wave DFT calculation with PBEsol was carried out for a relaxed structure of CsSr2As.

a = 5.6625 Å, b = 5.6625 Å, c = 5.6625 Å
α = 60.00°, β = 60.00°, γ = 60.00°
Atoms (fractional coordinates):
As 0.0000 0.0000 0.0000
Sr 0.7500 0.7500 0.7500
Sr 0.2500 0.2500 0.2500
Cs 0.5000 0.5000 0.5000

Calculated values
The formation energy comes out at -0.13 eV/atom. The total energy is -10.3 eV per formula unit. The space group is No. 225. The crystal system is cubic. The value obtained for the calculated volume is 32.1 Å³/atom.

***

# 10
A plane-wave DFT calculation with PBEsol was carried out for a relaxed structure of LiZnIr2.

a = 2.6245 Å, b = 3.9181 Å, c = 5.2211 Å
α = 90.00°, β = 90.00°, γ = 90.00°
Atoms (fractional coordinates):
Ir 0.0000 0.0000 0.7556
Ir 0.0000 0.0000 0.2444
Li 0.5000 0.5000 0.0000
Zn 0.5000 0.5000 0.5000

Calculated values
The formation energy comes out at 0.04 eV/atom. The total energy is -23.1 eV per formula unit. The space group is No. 47. The crystal system is orthorhombic. The value obtained for the calculated volume is 13.4 Å³/atom.

***

# 11
A plane-wave DFT calculation with PBEsol was carried out for a relaxed structure of Li2SnPd.

a = 4.4464 Å, b = 4.4464 Å, c = 4.4464 Å
α = 60.00°, β = 60.00°, γ = 60.00°
Atoms (fractional coordinates):
Pd 0.0000 0.0000 0.0000
Li 0.5000 0.5000 0.5000
Li 0.7500 0.7500 0.7500
Sn 0.2500 0.2500 0.2500

Calculated values
The formation energy comes out at -0.60 eV/atom. The total energy is -16.5 eV per formula unit. The space group is No. 216. The crystal system is cubic. The value obtained for the calculated volume is 15.5 Å³/atom.

***

# 12
A plane-wave DFT calculation with PBEsol was carried out for a relaxed structure of ReAg.

a = 2.6447 Å, b = 2.6447 Å, c = 4.8330 Å
α = 90.00°, β = 90.00°, γ = 113.46°
Atoms (fractional coordinates):
Ag 0.0000 0.0000 0.0000
Re 0.5000 0.5000 0.5000

Calculated values
The formation energy comes out at 0.68 eV/atom. The total energy is -15.3 eV per formula unit. The space group is No. 65. The crystal system is orthorhombic. The value obtained for the calculated volume is 15.5 Å³/atom.